CaRhI2O: optimized geometry, PBE. Values from VASP.

total magnetic moment = 0.60 μB/atom
DOS(E_F) = 1.24 states/eV per atom
E = -3.556 eV/atom
formation energy without anion corrections = -74 meV/atom

```
&SYSTEM
  ibrav = 0, nat = 5, ntyp = 4
/
ATOMIC_SPECIES
Rh 102.91 Rh.upf
Ca 40.08 Ca.upf
O 16.00 O.upf
I 126.90 I.upf
CELL_PARAMETERS angstrom
-5.326 -1.762 2.285
-2.198 -0.631 -5.609
1.277 -3.934 -0.058
ATOMIC_POSITIONS angstrom
Rh -3.124 -3.163 -1.691
Ca 0.000 0.000 0.000
O 0.638 -1.967 -0.029
I -2.663 -0.881 1.143
I -1.099 -0.315 -2.805
```

Mn2GePbC: optimized geometry, PBE. Values from VASP.

total magnetic moment = 1.36 μB/atom
DOS(E_F) = 0.69 states/eV per atom
E = -5.339 eV/atom
ΔE_f = 1.839 eV/atom

```
&SYSTEM
  ibrav = 0, nat = 5, ntyp = 4
/
ATOMIC_SPECIES
Mn 54.94 Mn.upf
Ge 72.64 Ge.upf
C 12.01 C.upf
Pb 207.20 Pb.upf
CELL_PARAMETERS angstrom
-0.510 -1.207 4.514
3.487 -4.296 -0.755
3.636 2.750 1.146
ATOMIC_POSITIONS angstrom
Mn 1.818 1.375 0.573
Ge 0.000 0.000 0.000
C 3.307 -1.377 2.453
Mn -0.255 -0.604 2.257
Pb 1.743 -2.148 -0.378
```